Here is a relaxed TbDyGePt crystal from the Alexandria database. Energies are from PBE.

Computed properties:
As for the raw total energy: -24.19 eV for the cell shown. As for the symmetry: Amm2, No. 38. As for the energy of formation: -1.08 eV per atom. Its crystal system is orthorhombic. The calculation puts the offset from the most stable computed form at 0.000 eV/atom. The calculation puts the magnetization at 0.00 μB/f.u.

a b c (Å): 4.2554 5.7916 5.7916
angles (deg): 39.93 90.00 90.00
With the nearest neighbours (Å) after each atom.
Element x y z (fractional)
Tb  0.0000  0.0000  0.0000  4 Pt 2.96, 3 Ge 3.04-3.11
Dy  0.5000  0.2789  0.2789  4 Ge 2.97, 3 Pt 2.99-3.15
Ge  0.0000  0.7206  0.7206  2 Pt 2.80, 4 Dy 2.97, 3 Tb 3.04-3.11
Pt  0.5000  0.5534  0.5534  2 Ge 2.80, 4 Tb 2.96, 1 Dy 2.99